[1]
The following is a PBE calculation of Tl4In7Bi after structural relaxation, from the Alexandria database.

```
12
Lattice="8.126 0.000 4.692 2.709 7.661 4.692 0.000 0.000 9.383" Properties=species:S:1:pos:R:3 pbc="T T T"
Tl 5.417 6.639 9.383
Tl 4.093 2.894 11.677
Tl 8.065 2.894 9.383
Tl 4.093 2.894 7.090
In 3.968 5.880 11.893
In 8.316 5.880 9.383
In 3.968 5.880 6.873
In 2.709 1.915 4.692
In 6.867 1.781 6.873
In 6.867 1.781 11.893
In 2.519 1.781 9.383
Bi 0.000 0.000 0.000
```

Properties
* V: 48.68 A^3/atom
* D(E_F): 1.003 states/eV per atom
* energy relative to the elements: 0.438 eV per atom

[2]
The following is a PBE calculation of Ce2TmW2C4 after structural relaxation, from the Alexandria database.

```
9
Lattice="-2.632 -1.905 1.120 0.898 -2.171 -6.854 3.775 -3.307 3.247" Properties=species:S:1:pos:R:3 pbc="T T T"
Ce 0.157 -4.839 -2.588
Ce 1.884 -2.544 0.101
Tm 0.000 0.000 0.000
W 3.448 -5.270 -0.859
W -1.407 -2.113 -1.628
C 1.398 -5.225 -0.328
C 0.643 -2.157 -2.158
C 0.526 -3.608 -4.899
C 1.515 -3.775 2.412
```

Properties
* V: 15.43 A^3/atom
* D(E_F): 0.832 states/eV per atom
* energy relative to the elements: -0.055 eV per atom

[3]
The following is a PBE calculation of VInP3 after structural relaxation, from the Alexandria database.

```
5
Lattice="-1.299 -3.361 2.873 3.273 -2.744 -1.730 2.972 1.553 3.160" Properties=species:S:1:pos:R:3 pbc="T T T"
P 1.637 -1.372 -0.865
P 1.486 0.776 1.580
P -0.649 -1.680 1.436
In 2.473 -2.276 2.152
V 0.000 0.000 0.000
```

Properties
* V: 19.57 A^3/atom
* D(E_F): 0.796 states/eV per atom
* energy relative to the elements: 0.201 eV per atom

[4]
The following is a PBE calculation of LiCr2Sn2S6 after structural relaxation, from the Alexandria database.

```
11
Lattice="6.432 -0.126 0.060 -3.289 5.529 0.060 -1.110 -1.909 6.265" Properties=species:S:1:pos:R:3 pbc="T T T"
Li -0.555 -0.954 3.132
Cr -0.612 2.695 3.192
Cr 2.645 0.800 3.192
Sn 4.917 0.755 0.060
Sn -1.774 4.648 0.060
S 1.483 2.548 4.454
S -1.828 1.021 4.498
S 0.550 0.946 1.930
S 1.791 -1.085 4.498
S 3.861 2.473 1.887
S 0.242 4.579 1.887
```

Properties
* V: 20.16 A^3/atom
* D(E_F): 0.226 states/eV per atom
* formation energy (no corrections): -59.7 kJ per mole of atoms

[5]
The following is a PBE calculation of As3P after structural relaxation, from the Alexandria database.

```
4
Lattice="-0.978 -4.199 1.766 3.347 -3.224 0.334 1.658 -1.212 4.182" Properties=species:S:1:pos:R:3 pbc="T T T"
As 0.000 0.000 0.000
As 1.007 -2.159 1.570
As 2.014 -4.318 3.141
P 3.020 -6.477 4.711
```

Properties
* V: 17.88 A^3/atom
* D(E_F): 1.134 states/eV per atom
* energy relative to the elements: 0.554 eV per atom

[6]
The following is a PBE calculation of Pm2TlPb after structural relaxation, from the Alexandria database.

```
4
Lattice="4.435 0.000 0.000 0.000 5.153 0.000 0.000 0.000 5.153" Properties=species:S:1:pos:R:3 pbc="T T T"
Pb 2.217 2.576 2.576
Tl 2.217 0.000 0.000
Pm 0.000 0.000 2.576
Pm 0.000 2.576 0.000
```

Properties
* V: 29.44 A^3/atom
* D(E_F): 0.766 states/eV per atom
* energy relative to the elements: -0.456 eV per atom

Question: Look up the D(E_F) of the fifth one.
Answer: 1.134 states/eV per atom

Question: Which value of D(E_F) does entry 4 give?
Answer: 0.226 states/eV per atom

Question: What is the formula in the first record?
Answer: Tl4In7Bi

Please write out number 2 again, unchanged.
The following is a PBE calculation of Ce2TmW2C4 after structural relaxation, from the Alexandria database.

```
9
Lattice="-2.632 -1.905 1.120 0.898 -2.171 -6.854 3.775 -3.307 3.247" Properties=species:S:1:pos:R:3 pbc="T T T"
Ce 0.157 -4.839 -2.588
Ce 1.884 -2.544 0.101
Tm 0.000 0.000 0.000
W 3.448 -5.270 -0.859
W -1.407 -2.113 -1.628
C 1.398 -5.225 -0.328
C 0.643 -2.157 -2.158
C 0.526 -3.608 -4.899
C 1.515 -3.775 2.412
```

Properties
* V: 15.43 A^3/atom
* D(E_F): 0.832 states/eV per atom
* energy relative to the elements: -0.055 eV per atom